Compound: AlAg
Source: Alexandria
Functional: meta-GGA SCAN
Structure: PBEsol geometry

Unit cell a=3.997 b=3.997 c=8.566 alpha=103.49 beta=103.49 gamma=90.00
Atoms (fractional coordinates):
Al 0.000 0.500 0.000
Ag 0.750 0.250 0.500
Al 0.500 0.000 0.000
Ag 0.382 0.382 0.764
Ag 0.618 0.618 0.236
Al 0.871 0.871 0.742
Ag 0.250 0.750 0.500
Al 0.129 0.129 0.258

Calculated values
As for the uncorrected energy: -19.614 eV/atom. As for the formation energy: -5 kJ per mole of atoms.

Compound: Al5Ag3
Source: Alexandria
Functional: meta-GGA SCAN
Structure: PBEsol geometry

Unit cell a=4.866 b=5.738 c=5.738 alpha=120.40 beta=106.35 gamma=73.65
Atoms (fractional coordinates):
Ag 0.001 0.246 0.754
Al 0.000 0.249 0.249
Al 0.500 0.000 0.500
Al 0.500 0.000 0.000
Ag 0.500 0.500 0.500
Ag 0.999 0.754 0.246
Al 0.500 0.500 0.000
Al 0.000 0.751 0.751

Calculated values
As for the uncorrected energy: -16.628 eV/atom. As for the formation energy: -2 kJ per mole of atoms. The value obtained for the energy above the most stable polymorph in this dataset is 52.0 meV per atom.

Compound: Al2Ag3
Source: Alexandria
Functional: meta-GGA SCAN
Structure: PBEsol geometry

Unit cell a=2.851 b=7.484 c=7.955 alpha=103.50 beta=90.00 gamma=100.98
Atoms (fractional coordinates):
Al 0.591 0.183 0.296
Ag 0.000 0.000 0.000
Ag 0.394 0.789 0.205
Al 0.201 0.402 0.598
Al 0.799 0.598 0.402
Ag 0.802 0.605 0.887
Ag 0.606 0.211 0.795
Al 0.409 0.817 0.704
Ag 0.000 0.000 0.500
Ag 0.198 0.395 0.113

Calculated values
As for the uncorrected energy: -22.003 eV/atom. As for the formation energy: -8 kJ per mole of atoms. The value obtained for the energy above the most stable polymorph in this dataset is 15.6 meV per atom.

Look up the uncorrected energy of the second one.
-16.628 eV/atom

The lowest uncorrected energy belongs to which entry?
Al2Ag3

Repeat the third record exactly.
Compound: Al2Ag3
Source: Alexandria
Functional: meta-GGA SCAN
Structure: PBEsol geometry

Unit cell a=2.851 b=7.484 c=7.955 alpha=103.50 beta=90.00 gamma=100.98
Atoms (fractional coordinates):
Al 0.591 0.183 0.296
Ag 0.000 0.000 0.000
Ag 0.394 0.789 0.205
Al 0.201 0.402 0.598
Al 0.799 0.598 0.402
Ag 0.802 0.605 0.887
Ag 0.606 0.211 0.795
Al 0.409 0.817 0.704
Ag 0.000 0.000 0.500
Ag 0.198 0.395 0.113

Calculated values
As for the uncorrected energy: -22.003 eV/atom. As for the formation energy: -8 kJ per mole of atoms. The value obtained for the energy above the most stable polymorph in this dataset is 15.6 meV per atom.

Look up the uncorrected energy of the first one.
-19.614 eV/atom